No. 1
Li20B54O: relaxed, PBEsol.

Cell: 8.2071 8.2074 12.4884 Å, 90.63 90.55 119.97°
With the nearest neighbours (Å) after each atom.
Element x y z (fractional)
Li 0.0000 0.0000 0.0000  8 B 2.25-2.33
Li 0.0005 0.4789 0.6650  1 O 2.17, 2 B 2.35-2.39
Li 0.0012 0.6339 0.9986  8 B 2.27-2.35
Li 0.0105 0.1747 0.7076  1 O 2.02, 1 B 2.20
Li 0.1453 0.2961 0.5302  1 O 1.91
Li 0.3357 0.5170 0.8026  1 O 1.88
Li 0.3414 0.7399 0.6479  5 B 2.27-2.50, 1 O 2.30, 1 Li 2.47
Li 0.3475 0.2412 0.6712  1 O 2.13, 3 B 2.33-2.38
Li 0.3813 0.7592 0.3300  8 B 2.40-2.55, 1 Li 2.43
Li 0.3927 0.2725 0.3265  8 B 2.35-2.59, 1 Li 2.41
Li 0.4233 0.2110 0.9980  8 B 2.24-2.31
Li 0.4273 0.8567 0.9985  8 B 2.24-2.31
Li 0.5231 0.5756 0.6330  1 O 2.11, 2 B 2.23-2.30
Li 0.5497 0.0946 0.2960  11 B 2.37-2.65, 3 Li 2.40-2.43
Li 0.5839 0.1129 0.6450  11 B 2.37-2.65, 1 Li 2.65
Li 0.6502 0.6418 0.0012  8 B 2.24-2.32
Li 0.7877 0.2111 0.9971  8 B 2.25-2.32
Li 0.8833 0.2685 0.3282  8 B 2.36-2.53, 1 Li 2.40
Li 0.8855 0.7639 0.3264  18 B 2.52-2.76
Li 0.9024 0.7755 0.6439  11 B 2.37-2.63
B 0.0825 0.7487 0.8244  5 B 1.69-1.78
B 0.0830 0.9650 0.8266  5 B 1.70-1.77
B 0.0919 0.7565 0.1665  5 B 1.69-1.79
B 0.0918 0.9740 0.1662  5 B 1.69-1.79
B 0.0983 0.7636 0.4950  5 B 1.70-1.78
B 0.0982 0.9810 0.4960  5 B 1.70-1.78
B 0.2079 0.9197 0.9267  5 B 1.74-1.78
B 0.2107 0.9222 0.7294  5 B 1.69-1.76
B 0.2108 0.9228 0.0661  5 B 1.74-1.77
B 0.2200 0.9317 0.2625  5 B 1.69-1.75
B 0.2216 0.9332 0.3976  5 B 1.69-1.76
B 0.2231 0.9339 0.5944  5 B 1.69-1.76
B 0.3278 0.8690 0.8276  5 B 1.70-1.78
B 0.3306 0.0879 0.8300  5 B 1.70-1.78
B 0.3374 0.0972 0.1637  5 B 1.70-1.80
B 0.3368 0.8779 0.1643  5 B 1.70-1.80
B 0.3422 0.1060 0.4970  5 B 1.69-1.79
B 0.3458 0.8901 0.4952  5 B 1.70-1.79
B 0.5347 0.8693 0.8268  5 B 1.70-1.78
B 0.5368 0.2947 0.8273  5 B 1.70-1.78
B 0.5441 0.8781 0.1648  5 B 1.70-1.80
B 0.5450 0.3041 0.1636  5 B 1.70-1.80
B 0.5494 0.3112 0.4950  5 B 1.69-1.81
B 0.5518 0.8882 0.4956  5 B 1.70-1.79
B 0.6561 0.5399 0.8289  5 B 1.69-1.78
B 0.6566 0.7463 0.8283  5 B 1.69-1.77
B 0.6682 0.5496 0.1673  5 B 1.70-1.79
B 0.6680 0.7567 0.1677  5 B 1.70-1.79
B 0.6762 0.5575 0.4905  5 B 1.70-1.77
B 0.6761 0.7642 0.4906  5 B 1.70-1.78
B 0.7041 0.4225 0.7291  5 B 1.69-1.77
B 0.7052 0.9139 0.7300  5 B 1.69-1.76
B 0.7075 0.9204 0.9279  5 B 1.73-1.77
B 0.7105 0.4212 0.9266  5 B 1.74-1.77
B 0.7113 0.9231 0.0668  5 B 1.73-1.77
B 0.7131 0.4241 0.0660  5 B 1.74-1.78
B 0.7158 0.4358 0.5939  5 B 1.69-1.78
B 0.7170 0.9248 0.5951  5 B 1.69-1.78
B 0.7178 0.4253 0.2623  5 B 1.69-1.75
B 0.7180 0.9339 0.2630  5 B 1.69-1.75
B 0.7187 0.4244 0.3976  5 B 1.69-1.77
B 0.7191 0.9370 0.3981  5 B 1.69-1.77
B 0.7506 0.0860 0.8273  5 B 1.71-1.78
B 0.7539 0.2961 0.8249  5 B 1.71-1.78
B 0.7637 0.0976 0.1636  5 B 1.69-1.80
B 0.7640 0.3042 0.1631  5 B 1.69-1.80
B 0.7693 0.3111 0.4993  5 B 1.70-1.81
B 0.7717 0.1051 0.5011  5 B 1.70-1.79
B 0.8725 0.9590 0.8302  5 B 1.70-1.77
B 0.8750 0.5437 0.8274  5 B 1.69-1.78
B 0.8854 0.9740 0.1666  5 B 1.69-1.79
B 0.8859 0.5500 0.1664  5 B 1.69-1.79
B 0.8917 0.5563 0.4968  5 B 1.70-1.78
B 0.8917 0.9812 0.4979  5 B 1.70-1.78
O 0.2322 0.4232 0.6652  3 Li 1.88-2.02

Mass density ... 1.7 g/cm³
Magnetization ... 0.00 μB/f.u.
Formation energy (no corrections) ... -0.269 eV per atom

***

No. 2
Li6B4O9: relaxed, PBEsol.

Cell: 6.5090 7.0265 8.4627 Å, 94.71 99.60 98.80°
With the nearest neighbours (Å) after each atom.
Element x y z (fractional)
Li 0.0618 0.1955 0.0219  4 O 1.96-2.03
Li 0.0654 0.0590 0.3837  4 O 1.91-1.95
Li 0.1080 0.6787 0.7158  3 O 1.83-1.99
Li 0.2401 0.6627 0.4413  3 O 1.91-2.00
Li 0.3748 0.4707 0.8585  5 O 2.00-2.18
Li 0.3880 0.2917 0.2693  4 O 1.93-2.08
Li 0.6120 0.7083 0.7307  4 O 1.93-2.08
Li 0.6252 0.5293 0.1415  5 O 2.00-2.18
Li 0.7599 0.3373 0.5587  3 O 1.91-2.00
Li 0.8920 0.3213 0.2842  3 O 1.83-1.99
Li 0.9346 0.9410 0.6163  4 O 1.91-1.95
Li 0.9382 0.8045 0.9781  4 O 1.96-2.03
B 0.2270 0.5790 0.0698  3 O 1.35-1.45
B 0.2643 0.9015 0.2123  3 O 1.33-1.42
B 0.2758 0.3765 0.5686  3 O 1.36-1.42
B 0.3518 0.0438 0.6437  3 O 1.34-1.40
B 0.6482 0.9562 0.3563  3 O 1.34-1.40
B 0.7242 0.6235 0.4314  3 O 1.36-1.42
B 0.7357 0.0985 0.7877  3 O 1.33-1.42
B 0.7730 0.4210 0.9302  3 O 1.35-1.45
O 0.1040 0.9932 0.1636  1 B 1.33
O 0.1543 0.6494 0.9311  1 B 1.35
O 0.1801 0.3295 0.4121  1 B 1.36
O 0.1989 0.9146 0.5478  1 B 1.34
O 0.2407 0.7001 0.2190  2 B 1.41-1.45
O 0.3140 0.4132 0.0755  1 B 1.37
O 0.3260 0.5625 0.6400  1 B 1.36
O 0.3337 0.2381 0.6742  2 B 1.40-1.42
O 0.4640 0.0147 0.2787  2 B 1.40-1.42
O 0.5360 0.9853 0.7213  2 B 1.40-1.42
O 0.6663 0.7619 0.3258  2 B 1.40-1.42
O 0.6740 0.4375 0.3600  1 B 1.36
O 0.6860 0.5868 0.9245  1 B 1.37
O 0.7593 0.2999 0.7810  2 B 1.41-1.45
O 0.8011 0.0854 0.4522  1 B 1.34
O 0.8199 0.6705 0.5879  1 B 1.36
O 0.8457 0.3506 0.0689  1 B 1.35
O 0.8960 0.0068 0.8364  1 B 1.33

Mass density ... 2.0 g/cm³
Magnetization ... 0.00 μB/f.u.
Formation energy (no corrections) ... -2.290 eV per atom
Excess energy over the best structure of this formula in the dataset ... 5.95 kJ/mol of atoms

***

No. 3
LiB3O5: relaxed, PBEsol.

Cell: 8.3523 7.3418 5.2292 Å, 90.00 90.00 90.00°
With the nearest neighbours (Å) after each atom.
Element x y z (fractional)
Li 0.0818 0.0681 0.0000  4 O 1.99-2.09
Li 0.4182 0.5681 0.5000  4 O 1.99-2.09
Li 0.5818 0.4319 0.0000  4 O 1.99-2.09
Li 0.9182 0.9319 0.5000  4 O 1.99-2.09
B 0.0088 0.6647 0.8655  3 O 1.35-1.40
B 0.1571 0.7475 0.2425  3 O 1.36-1.40
B 0.1952 0.4411 0.0610  4 O 1.46-1.49
B 0.3048 0.9411 0.5610  4 O 1.46-1.49
B 0.3429 0.2475 0.7425  3 O 1.36-1.40
B 0.4912 0.1647 0.3655  3 O 1.35-1.40
B 0.5088 0.8353 0.8655  3 O 1.35-1.40
B 0.6571 0.7525 0.2425  3 O 1.36-1.40
B 0.6952 0.0589 0.0610  4 O 1.46-1.49
B 0.8048 0.5589 0.5610  4 O 1.46-1.49
B 0.8429 0.2525 0.7425  3 O 1.36-1.40
B 0.9912 0.3353 0.3655  3 O 1.35-1.40
O 0.0583 0.7988 0.0394  2 B 1.40
O 0.0840 0.5016 0.8625  2 B 1.35-1.46
O 0.1167 0.2925 0.2077  2 B 1.37-1.49
O 0.1595 0.8727 0.4373  2 B 1.37-1.46
O 0.2414 0.5887 0.2412  2 B 1.36-1.49
O 0.2586 0.0887 0.7412  2 B 1.36-1.49
O 0.3405 0.3727 0.9373  2 B 1.37-1.46
O 0.3833 0.7925 0.7077  2 B 1.37-1.49
O 0.4160 0.0016 0.3625  2 B 1.35-1.46
O 0.4417 0.2988 0.5394  2 B 1.40
O 0.5583 0.7012 0.0394  2 B 1.40
O 0.5840 0.9984 0.8625  2 B 1.35-1.46
O 0.6167 0.2075 0.2077  2 B 1.37-1.49
O 0.6595 0.6273 0.4373  2 B 1.37-1.46
O 0.7414 0.9113 0.2412  2 B 1.36-1.49
O 0.7586 0.4113 0.7412  2 B 1.36-1.49
O 0.8405 0.1273 0.9373  2 B 1.37-1.46
O 0.8833 0.7075 0.7077  2 B 1.37-1.49
O 0.9160 0.4984 0.3625  2 B 1.35-1.46
O 0.9417 0.2012 0.5394  2 B 1.40

Mass density ... 2.5 g/cm³
Magnetization ... 0.00 μB/f.u.
Formation energy (no corrections) ... -2.449 eV per atom

***

Taking the records one at a time from the top gives calculated total energy values of -5.9150, -6.8742, -7.9221 eV/atom.